A relaxed BCSe2 crystal. Source: Alexandria, functional PBE-GGA.

DOS(E_F) in states/eV/atom: 0.5286
Polymorph energy (0 for the lowest one) in meV/atom: 162
Formation energy from raw total energies in eV/atom: 1.485
Raw total energy in eV per atom: -4.23

Cell lengths 3.602, 3.602, 18.031 Å; angles 90.00, 90.00, 120.00 degrees
Atoms (fractional coordinates):
B 0.000 0.000 0.000
B 0.333 0.667 0.667
B 0.667 0.333 0.333
C 0.000 0.000 0.500
C 0.333 0.667 0.167
C 0.667 0.333 0.833
Se 0.000 0.000 0.403
Se 0.000 0.000 0.597
Se 0.333 0.667 0.070
Se 0.333 0.667 0.263
Se 0.667 0.333 0.737
Se 0.667 0.333 0.930

=====

A relaxed Ba3Sn5 crystal. Source: Alexandria, functional PBE-GGA.

DFT formation energy in eV per formula unit: -5.01
DOS(E_F) in states/eV/atom: 0.4793
Polymorph energy (0 for the lowest one) in meV/atom: 0
Raw total energy in eV per atom: -3.85

Cell lengths 7.189, 7.189, 11.298 Å; angles 90.00, 90.00, 78.37 degrees
Atoms (fractional coordinates):
Ba 0.150 0.850 0.750
Ba 0.294 0.294 0.000
Ba 0.294 0.294 0.500
Ba 0.706 0.706 0.000
Ba 0.706 0.706 0.500
Ba 0.850 0.150 0.250
Sn 0.019 0.596 0.250
Sn 0.193 0.807 0.061
Sn 0.193 0.807 0.439
Sn 0.404 0.981 0.250
Sn 0.449 0.551 0.250
Sn 0.551 0.449 0.750
Sn 0.596 0.019 0.750
Sn 0.807 0.193 0.561
Sn 0.807 0.193 0.939
Sn 0.981 0.404 0.750

=====

A relaxed Cd4MoAs crystal. Source: Alexandria, functional PBE-GGA.

DFT formation energy in eV per formula unit: 3.64
DOS(E_F) in states/eV/atom: 0.4649
Raw total energy in eV per atom: -2.58

Cell lengths 5.657, 5.657, 5.657 Å; angles 60.00, 60.00, 60.00 degrees
Atoms (fractional coordinates):
Cd 0.125 0.125 0.125
Cd 0.125 0.125 0.626
Cd 0.125 0.626 0.125
Cd 0.626 0.125 0.125
Mo 0.750 0.750 0.750
As 0.500 0.500 0.500

=====

A relaxed Ac4SbTe3 crystal. Source: Alexandria, functional PBE-GGA.

DOS(E_F) in states/eV/atom: 0.4835
Formation energy from raw total energies in eV/atom: -1.452
Raw total energy in eV per atom: -5.20

Cell lengths 9.517, 13.425, 4.747 Å; angles 90.00, 90.00, 90.00 degrees
Atoms (fractional coordinates):
Ac 0.000 0.247 0.000
Ac 0.000 0.753 0.000
Ac 0.244 0.000 0.500
Ac 0.256 0.500 0.500
Ac 0.500 0.253 0.000
Ac 0.500 0.747 0.000
Ac 0.744 0.500 0.500
Ac 0.756 0.000 0.500
Sb 0.000 0.000 0.000
Sb 0.500 0.500 0.000
Te 0.000 0.500 0.000
Te 0.250 0.250 0.500
Te 0.250 0.750 0.500
Te 0.500 0.000 0.000
Te 0.750 0.250 0.500
Te 0.750 0.750 0.500